# Dy4AgTe3

A relaxed structure of Dy4AgTe3 (GGA-PBE, the Alexandria database).

Properties
Energy relative to the elements, uncorrected (kJ/mol of formula units): -789
Fermi-level density of states (states/eV/cell): 10.29
Total moment (μB/cell): 0.00

Lattice parameters (Å, degrees): 8.8920 12.2732 4.2105 90.00 90.00 90.00
Space group Cmmm (No. 65)
One atom of each set of equivalent atoms:
Dy (0.0000, 0.2438, 0.0000)
Dy (0.2341, 0.0000, 0.5000)
Ag (0.0000, 0.0000, 0.0000)
Te (0.0000, 0.5000, 0.0000)
Te (0.2500, 0.2500, 0.5000)